(1)
Below is a relaxed structure of NdCoB5O10, with properties calculated at the GGA-PBEsol level.

Geometry as extended XYZ:
```
68
Lattice="-6.8361 -3.2593 -0.0905 3.4954 -7.4105 2.8547 -1.2162 2.2994 9.0619" Properties=species:S:1:pos:R:3 pbc="T T T"
Nd -2.6411 -6.6578 4.2762
Nd 1.3111 -6.1523 4.4578
Nd -1.9157 -1.7126 7.5499
Nd -5.8679 -2.2181 7.3683
Co -6.3346 -2.8301 3.5804
Co -1.5503 -4.0282 2.2585
Co 1.7778 -5.5403 8.2457
Co -3.0066 -4.3423 9.5677
B -0.5801 -6.4299 9.2176
B -4.1621 -5.6332 1.9086
B -2.3966 -0.5928 3.9479
B -0.3948 -2.7373 9.9176
B -2.1603 -7.7776 7.8783
B -0.0287 -1.7308 5.4825
B -3.5228 -3.0614 0.4137
B -4.5282 -6.6397 6.3436
B -1.0340 -5.3090 11.4124
B -5.1605 -5.6039 8.5361
B -3.9767 -1.9406 2.6085
B 0.6037 -2.7666 3.2901
B -3.6502 -4.3697 6.8464
B -2.2027 1.3595 8.0973
B -0.9066 -4.0008 4.9797
B -2.3542 -9.7299 3.7288
B -1.3405 -5.5728 6.9985
B -5.0211 -6.7570 10.7469
B -3.2164 -2.7977 4.8276
B 0.4642 -1.6134 1.0792
O -4.5837 -4.3435 8.0012
O -1.7726 -2.7122 9.8592
O -3.0092 -8.8644 7.9072
O -2.7842 -5.6582 1.9669
O -1.5477 0.4940 3.9189
O -3.9632 -1.4415 8.6098
O -0.0870 -0.7092 6.3578
O -0.5936 -6.9290 3.2163
O -2.7450 0.6297 6.9231
O -4.4699 -7.6612 5.4683
O -1.8119 -9.0001 4.9031
O 0.0269 -4.0269 3.8250
O -1.3934 -5.5623 10.1116
O -4.9791 -6.7727 7.6337
O -3.1634 -2.8082 1.7145
O 0.4223 -1.5977 4.1924
O -1.3831 -7.6437 9.0071
O 0.2227 -2.2063 8.8072
O -3.1737 -0.7267 2.8190
O -4.7795 -6.1642 3.0189
O -0.2907 -5.7236 7.9813
O -4.4564 -5.8364 9.7855
O -4.2662 -2.6468 3.8448
O -0.1005 -2.5340 2.0406
O -2.2996 -4.5255 7.4465
O 2.0347 -4.8976 10.3796
O -2.2573 -3.8450 4.3796
O -6.5915 -3.4729 1.4465
O -3.7338 -3.0455 6.2024
O -1.2405 0.4542 8.7530
O -0.8230 -5.3250 5.6238
O -4.8896 -5.1163 0.8740
O -4.0356 -5.4101 5.9053
O 1.4379 -8.0045 2.8120
O -0.5213 -2.9604 5.9208
O -5.9948 -0.3660 9.0141
O -2.0817 -6.8764 6.8543
O 0.3327 -3.2542 10.9522
O -2.4752 -1.4940 4.9718
O -3.3163 -8.8246 3.0731
```

## Properties
E_form (uncorrected) = -2439 meV/atom
symmetry = No. 14
electronic total energy = -8.35 eV/atom
volume = 618.6 Å³ per cell
total moment = 12.0 Bohr magnetons per cell

=====

(2)
Below is a relaxed structure of CoBO3, with properties calculated at the GGA-PBEsol level.

Geometry as extended XYZ:
```
5
Lattice="3.3043 0.0000 0.0000 0.0000 3.3043 0.0000 0.0000 0.0000 3.3043" Properties=species:S:1:pos:R:3 pbc="T T T"
B 0.0000 0.0000 0.0000
Co 1.6521 1.6521 1.6521
O 0.0000 1.6521 0.0000
O 0.0000 0.0000 1.6521
O 1.6521 0.0000 0.0000
```

## Properties
E_form (uncorrected) = -506 meV/atom
symmetry = No. 221
electronic total energy = -6.61 eV/atom
volume = 36.1 Å³ per cell
total moment = 4.0 Bohr magnetons per cell

=====

(3)
Below is a relaxed structure of Co2BO4, with properties calculated at the GGA-PBEsol level.

Geometry as extended XYZ:
```
28
Lattice="2.8963 0.0000 0.0000 0.0000 9.0999 0.0000 0.0000 0.0000 9.1885" Properties=species:S:1:pos:R:3 pbc="T T T"
Co 2.1723 3.4690 5.1531
Co 0.7241 5.6309 4.0354
Co 0.7241 1.0810 0.5588
Co 2.1723 8.0189 8.6297
Co 2.1723 3.5957 1.8224
Co 0.7241 5.5041 7.3662
Co 0.7241 0.9542 6.4166
Co 2.1723 8.1457 2.7719
B 2.1723 3.0443 8.0288
B 0.7241 6.0556 1.1597
B 0.7241 1.5056 3.4345
B 2.1723 7.5942 5.7540
O 2.1723 9.0356 1.0239
O 0.7241 0.0643 8.1646
O 0.7241 4.6142 5.6182
O 2.1723 4.4856 3.5703
O 2.1723 2.3892 6.8066
O 0.7241 6.7107 2.3819
O 0.7241 2.1608 2.2123
O 2.1723 6.9391 6.9762
O 2.1723 4.3941 8.0482
O 0.7241 4.7057 1.1404
O 0.7241 0.1558 3.4539
O 2.1723 8.9441 5.7346
O 2.1723 2.3287 0.0451
O 0.7241 6.7712 9.1434
O 0.7241 2.2213 4.6393
O 2.1723 6.8786 4.5492
```

## Properties
E_form (uncorrected) = -1398 meV/atom
symmetry = No. 62
electronic total energy = -7.61 eV/atom
volume = 242.2 Å³ per cell
total moment = 12.1 Bohr magnetons per cell

=====

(4)
Below is a relaxed structure of CoBO3, with properties calculated at the GGA-PBEsol level.

Geometry as extended XYZ:
```
10
Lattice="-3.1720 -3.0878 1.9798 -0.4086 -4.6670 -2.3412 2.5880 -2.6488 3.9960" Properties=species:S:1:pos:R:3 pbc="T T T"
Co -2.5662 -6.6061 1.3553
Co 1.5737 -3.7975 2.2793
B -1.3938 -3.9889 1.5292
B 0.4013 -6.4146 2.1054
O -0.0738 -3.9618 1.1236
O -2.3250 -4.7650 0.8562
O -1.7820 -3.2642 2.6166
O 0.7895 -7.1394 1.0180
O 1.3325 -5.6386 2.7784
O -0.9187 -6.4418 2.5110
```

## Properties
E_form (uncorrected) = -1468 meV/atom
symmetry = No. 2
electronic total energy = -7.57 eV/atom
volume = 118.5 Å³ per cell
total moment = 7.8 Bohr magnetons per cell

=====

(5)
Below is a relaxed structure of Co4B6O13, with properties calculated at the GGA-PBEsol level.

Geometry as extended XYZ:
```
23
Lattice="-2.1561 1.8611 5.7761 -4.2130 -4.0875 -2.6491 5.6965 -2.9272 0.6760" Properties=species:S:1:pos:R:3 pbc="T T T"
Co -0.4701 -3.6016 2.6577
Co -1.2688 -1.2310 -0.7978
Co -0.6493 0.5605 1.7395
Co 1.7155 -0.8816 0.2036
B 1.6268 -3.7739 0.6265
B 0.1779 -1.0897 4.0078
B -0.8506 -4.0640 -0.2048
B 2.1411 -2.2868 2.7328
B -2.8137 -2.8669 1.0702
B -2.2994 -1.3798 3.1765
O 0.0000 0.0000 0.0000
O -2.9200 -1.7532 0.1121
O -3.0335 -2.4383 2.4622
O 0.3631 0.2301 3.3806
O 1.2556 -3.1017 1.8834
O 2.0010 -2.7362 -0.3496
O 0.4742 -4.5772 0.1840
O -0.8894 -1.7937 3.2766
O 2.5629 -1.1113 1.9519
O 1.3931 -1.9200 3.9475
O -0.7750 -3.0612 -1.2811
O -2.3438 -0.0868 2.4723
O -1.4513 -3.4187 0.9751
```

## Properties
E_form (uncorrected) = -1828 meV/atom
symmetry = No. 217
electronic total energy = -7.97 eV/atom
volume = 205.6 Å³ per cell
total moment = 12.0 Bohr magnetons per cell

=====

(6)
Below is a relaxed structure of CoBO2, with properties calculated at the GGA-PBEsol level.

Geometry as extended XYZ:
```
8
Lattice="-0.7820 -0.6750 4.0878 1.9189 -3.4489 -2.3768 4.0958 -0.7527 0.6593" Properties=species:S:1:pos:R:3 pbc="T T T"
B 1.7879 -2.0814 -0.0016
B 1.6569 -0.7138 2.3735
Co 3.4448 -2.7952 2.3719
Co 0.0000 0.0000 0.0000
O 2.5720 -3.2168 0.5714
O 4.8395 -3.4037 -0.2466
O 1.9064 -1.8408 3.3224
O 1.1474 -1.2920 1.0934
```

## Properties
E_form (uncorrected) = -1282 meV/atom
symmetry = No. 122
electronic total energy = -7.59 eV/atom
volume = 62.4 Å³ per cell
total moment = 4.0 Bohr magnetons per cell

=====

(7)
Below is a relaxed structure of Co2BO, with properties calculated at the GGA-PBEsol level.

Geometry as extended XYZ:
```
4
Lattice="-1.6353 -0.4526 -3.1580 1.9388 -0.6358 -2.9477 -0.0761 -3.2407 -1.5310" Properties=species:S:1:pos:R:3 pbc="T T T"
B 0.0000 0.0000 0.0000
Co 0.0568 -1.0823 -1.9092
Co 0.1705 -3.2469 -5.7275
O 0.1137 -2.1646 -3.8183
```

## Properties
E_form (uncorrected) = 157 meV/atom
symmetry = No. 225
electronic total energy = -6.78 eV/atom
volume = 32.6 Å³ per cell
total moment = 2.8 Bohr magnetons per cell

=====

(8)
Below is a relaxed structure of CoBO3, with properties calculated at the GGA-PBEsol level.

Geometry as extended XYZ:
```
5
Lattice="3.5807 0.0000 0.0000 0.0000 3.5807 0.0000 0.0000 0.0000 3.5807" Properties=species:S:1:pos:R:3 pbc="T T T"
B 1.7903 1.7903 1.7903
Co 0.0000 0.0000 0.0000
O 0.0000 1.7903 0.0000
O 0.0000 0.0000 1.7903
O 1.7903 0.0000 0.0000
```

## Properties
E_form (uncorrected) = 481 meV/atom
symmetry = No. 221
electronic total energy = -5.62 eV/atom
volume = 45.9 Å³ per cell
total moment = 1.6 Bohr magnetons per cell

=====

(9)
Below is a relaxed structure of Co3BPO7, with properties calculated at the GGA-PBEsol level.

Geometry as extended XYZ:
```
24
Lattice="-3.5395 -1.4966 -2.9942 6.7924 -3.0503 -2.5007 -1.0834 -3.4132 6.9908" Properties=species:S:1:pos:R:3 pbc="T T T"
P -0.5228 -0.6758 -0.4597
P 2.6908 -4.1791 2.0730
B -3.2101 -3.1363 0.6402
B 0.1520 -2.9813 -3.4117
Co 0.7251 -4.3128 4.5293
Co 4.7439 -4.1276 -0.3139
Co -2.3502 -3.7023 3.4772
Co -0.3078 -3.4231 1.2910
Co 1.3393 -3.3472 -0.6940
Co 3.1184 -3.4503 -3.1133
O -0.2587 -2.2015 -0.2988
O 4.0080 -6.9028 3.0618
O 1.7410 -3.2020 1.3222
O 0.1642 -4.8819 -0.0504
O -0.3314 -3.4170 5.9846
O 5.9437 -3.1278 -1.5779
O 3.4646 -5.0142 1.0247
O 1.8361 -5.0892 2.9873
O -2.2528 -3.8962 1.2998
O 1.0056 -3.7460 -2.6270
O 3.6058 -4.8234 -1.7664
O -0.8858 -5.0304 3.6466
O 2.8284 -2.1228 -1.2960
O -0.6692 -2.2840 2.9191
```

## Properties
E_form (uncorrected) = -1446 meV/atom
symmetry = No. 8
electronic total energy = -7.51 eV/atom
volume = 252.0 Å³ per cell
total moment = 18.0 Bohr magnetons per cell

=====

(10)
Below is a relaxed structure of YCoB5O10, with properties calculated at the GGA-PBEsol level.

Geometry as extended XYZ:
```
68
Lattice="7.5551 0.0000 0.0000 0.0000 8.5313 0.0350 0.0000 0.6213 9.3251" Properties=species:S:1:pos:R:3 pbc="T T T"
Y 5.1508 5.9735 2.4379
Y 1.3733 7.1341 2.2772
Y 2.4043 3.1791 6.9222
Y 6.1818 2.0185 7.0829
Co 6.8169 1.0992 3.4504
Co 3.0394 3.4771 1.2297
Co 0.7382 8.0534 5.9097
Co 4.5157 5.6755 8.1304
B 6.1119 3.7555 0.8316
B 2.3344 0.8208 3.8485
B 1.4432 5.3971 8.5286
B 5.2207 8.3318 5.5116
B 0.7716 3.2071 4.7667
B 4.5492 1.9905 9.2385
B 6.7835 5.9455 4.5935
B 3.0059 7.1621 0.1216
B 0.2401 1.9322 0.5342
B 4.0176 2.6441 4.1458
B 7.3150 7.2204 8.8259
B 3.5375 6.5085 5.2143
B 6.2297 8.4285 1.0055
B 2.4521 4.6792 3.7096
B 1.3254 0.7242 8.3546
B 5.1029 4.4734 5.6505
B 0.5433 3.7073 2.3135
B 4.3209 0.8690 2.3666
B 7.0117 5.4453 7.0467
B 3.2342 8.2836 6.9935
O 7.1334 6.5677 3.4540
O 3.3559 6.5400 1.2611
O 0.4217 2.5850 5.9061
O 4.1992 2.6126 8.0990
O 1.1139 8.7334 4.0584
O 4.8914 4.3742 0.6567
O 6.4412 0.4192 5.3017
O 2.6637 4.7784 8.7035
O 6.5955 2.7156 0.0960
O 2.8180 1.8607 4.5841
O 0.9596 6.4370 9.2642
O 4.7371 7.2919 4.7760
O 5.5281 1.0042 9.1153
O 1.7506 4.1934 4.8898
O 2.0270 8.1484 0.2448
O 5.8045 4.9592 4.4703
O 6.7332 7.0680 0.7780
O 2.9557 6.0396 3.9371
O 0.8218 2.0846 8.5821
O 4.5994 3.1130 5.4230
O 7.3424 0.7983 1.4079
O 3.5649 3.7780 3.2722
O 0.2127 8.3543 7.9522
O 3.9902 5.3746 6.0880
O 1.1211 2.8040 1.3096
O 4.8986 1.7723 3.3705
O 6.4340 6.3486 8.0505
O 2.6564 7.3803 5.9896
O 6.8297 4.2889 1.8752
O 3.0522 0.2874 2.8049
O 0.7253 4.8637 7.4849
O 4.5029 8.8652 6.5553
O 0.2400 2.9146 3.5384
O 4.0175 1.6617 1.1416
O 7.3151 6.2380 5.8217
O 3.5375 7.4909 8.2185
O 1.5326 4.7666 2.5591
O 5.3101 8.3411 2.1560
O 6.0225 4.3861 6.8010
O 2.2449 0.8115 7.2041
```

## Properties
E_form (uncorrected) = -2446 meV/atom
symmetry = No. 14
electronic total energy = -8.45 eV/atom
volume = 600.9 Å³ per cell
total moment = 12.0 Bohr magnetons per cell

=====

(11)
Below is a relaxed structure of SrCoBOs2, with properties calculated at the GGA-PBEsol level.

Geometry as extended XYZ:
```
5
Lattice="4.4412 0.0000 0.0000 0.0000 4.8460 0.0000 0.0000 0.0000 4.8460" Properties=species:S:1:pos:R:3 pbc="T T T"
Sr 0.0000 0.0000 0.0000
B 2.2206 2.4230 2.4230
Os 0.0000 0.0000 2.4230
Os 0.0000 2.4230 0.0000
Co 2.2206 0.0000 0.0000
```

## Properties
formation energy from the elements = 4.124 eV per atom
symmetry = No. 123
electronic total energy = -4.08 eV/atom
volume = 104.3 Å³ per cell
total moment = 3.9 Bohr magnetons per cell

=====

(12)
Below is a relaxed structure of ZrCoB2Os, with properties calculated at the GGA-PBEsol level.

Geometry as extended XYZ:
```
5
Lattice="-3.8550 1.4502 -0.3524 -1.3789 -3.0878 2.3774 0.5906 2.4156 3.4801" Properties=species:S:1:pos:R:3 pbc="T T T"
Co 0.2953 1.2078 1.7400
B -0.6895 -1.5439 1.1887
B -1.9275 0.7251 -0.1762
Os -2.3216 0.3890 2.7525
Zr 0.0000 0.0000 0.0000
```

## Properties
formation energy from the elements = 2.348 eV per atom
symmetry = No. 123
electronic total energy = -6.27 eV/atom
volume = 73.1 Å³ per cell
total moment = 1.5 Bohr magnetons per cell

=====

(13)
Below is a relaxed structure of Pr5Co2B6, with properties calculated at the GGA-PBEsol level.

Geometry as extended XYZ:
```
13
Lattice="5.4333 0.0000 0.0000 2.7167 4.7054 0.0000 2.7167 1.5685 8.1859" Properties=species:S:1:pos:R:3 pbc="T T T"
Pr 5.4333 3.1369 6.1444
Pr 5.4333 3.1369 2.0416
Pr 2.7167 1.5685 2.0147
Pr 8.1500 4.7054 6.1713
Pr 0.0000 0.0000 0.0000
Co 2.7167 1.5685 5.1469
Co 8.1500 4.7054 3.0390
B 4.5288 1.5702 4.0930
B 7.2425 3.1369 4.0930
B 4.5288 4.7037 4.0930
B 6.3379 4.7037 4.0930
B 3.6242 3.1369 4.0930
B 6.3379 1.5702 4.0930
```

## Properties
formation energy from the elements = -0.451 eV per atom
symmetry = No. 166
electronic total energy = -6.87 eV/atom
volume = 209.3 Å³ per cell
total moment = 0.0 Bohr magnetons per cell

=====

(14)
Below is a relaxed structure of PrCo2B2, with properties calculated at the GGA-PBEsol level.

Geometry as extended XYZ:
```
5
Lattice="3.5475 0.0000 0.0000 0.0000 3.5475 0.0000 -1.7738 -1.7738 4.9670" Properties=species:S:1:pos:R:3 pbc="T T T"
Pr 0.0000 0.0000 0.0000
B 0.0000 0.0000 3.3469
B 1.7738 1.7738 1.6201
Co 0.0000 1.7738 2.4835
Co 1.7738 0.0000 2.4835
```

## Properties
formation energy from the elements = -0.527 eV per atom
symmetry = No. 139
electronic total energy = -7.47 eV/atom
volume = 62.5 Å³ per cell
total moment = 0.0 Bohr magnetons per cell

=====

(15)
Below is a relaxed structure of Pr3Co11B4, with properties calculated at the GGA-PBEsol level.

Geometry as extended XYZ:
```
18
Lattice="-3.5688 -2.7063 -2.3750 4.2333 -2.2640 1.6293 -4.2248 -1.8301 8.4338" Properties=species:S:1:pos:R:3 pbc="T T T"
Pr -1.4385 -0.6231 2.8716
Pr -2.7863 -1.2070 5.5621
Pr 0.0000 0.0000 0.0000
Co -1.7802 -3.4002 3.8441
Co -3.8968 -2.2682 3.0294
Co -1.2501 -2.5904 7.5356
Co -3.0345 -3.9436 6.3481
Co -5.1512 -2.8116 5.5334
Co 1.2586 -1.5037 2.5275
Co -0.5258 -2.8568 1.3400
Co -2.6424 -1.7248 0.5254
Co 1.6326 -2.4114 0.2945
Co -0.9681 -2.5588 -1.0402
Co 0.0042 -2.0470 5.0316
B 0.1567 -3.0507 3.2407
B -2.4440 -3.1982 1.9060
B -3.7171 -3.7496 4.4474
B -1.1164 -3.6022 5.7821
```

## Properties
formation energy from the elements = -0.291 eV per atom
symmetry = No. 191
electronic total energy = -7.44 eV/atom
volume = 213.9 Å³ per cell
total moment = 6.8 Bohr magnetons per cell

=====

(16)
Below is a relaxed structure of Pr3Co13B2, with properties calculated at the GGA-PBEsol level.

Geometry as extended XYZ:
```
18
Lattice="-2.2264 -1.9737 4.0180 4.6569 1.7859 0.3471 -3.8543 9.5537 2.5572" Properties=species:S:1:pos:R:3 pbc="T T T"
Pr -2.6105 6.4707 1.7320
Pr -1.2438 3.0831 0.8252
Pr 0.0000 0.0000 0.0000
Co -0.7119 4.6830 3.4612
Co 0.4013 5.6698 1.4522
Co -3.0404 3.7900 3.2876
Co -2.5568 5.7856 4.5359
Co 1.1330 3.5803 2.3865
Co -0.2623 7.0388 3.3122
Co -1.1615 2.3271 3.6101
Co -2.1163 8.1640 4.3929
Co 0.6925 1.2019 2.5294
Co -1.0031 9.1509 2.3839
Co 1.8057 2.1887 0.5204
Co -4.4448 7.2711 4.2194
Co -1.6360 0.3089 2.3559
B 0.0680 -0.7205 2.7944
B 2.3625 0.5327 1.5707
```

## Properties
formation energy from the elements = -0.137 eV per atom
symmetry = No. 191
electronic total energy = -7.37 eV/atom
volume = 229.8 Å³ per cell
total moment = 13.6 Bohr magnetons per cell